Computed, not measured: a geometry-optimized BaCaSn3 structure at the PBEsol level of DFT.

## Properties
**Final energy**: -162.4 eV/cell
**Crystal system**: orthorhombic
**Total moment**: 0.0 μB per cell
**N(E_F)**: 0.19 states/eV per atom

Cell: 9.181 9.181 17.081 Å, 90.00 90.00 61.01°
Sites, in units of the cell vectors:
Ba 0.174 0.826 0.914
Ba 0.215 0.215 0.500
Ba 0.285 0.285 0.000
Ba 0.326 0.674 0.414
Ba 0.674 0.326 0.586
Ba 0.715 0.715 0.000
Ba 0.785 0.785 0.500
Ba 0.826 0.174 0.086
Ca 0.123 0.144 0.272
Ca 0.144 0.123 0.728
Ca 0.356 0.377 0.228
Ca 0.377 0.356 0.772
Ca 0.623 0.644 0.228
Ca 0.644 0.623 0.772
Ca 0.856 0.877 0.272
Ca 0.877 0.856 0.728
Sn 0.011 0.542 0.837
Sn 0.042 0.511 0.337
Sn 0.064 0.936 0.585
Sn 0.065 0.699 0.092
Sn 0.199 0.565 0.592
Sn 0.219 0.781 0.220
Sn 0.281 0.719 0.720
Sn 0.301 0.935 0.092
Sn 0.435 0.801 0.592
Sn 0.436 0.564 0.085
Sn 0.458 0.989 0.837
Sn 0.489 0.958 0.337
Sn 0.511 0.042 0.663
Sn 0.542 0.011 0.163
Sn 0.564 0.436 0.915
Sn 0.565 0.199 0.408
Sn 0.699 0.065 0.908
Sn 0.719 0.281 0.280
Sn 0.781 0.219 0.780
Sn 0.801 0.435 0.408
Sn 0.935 0.301 0.908
Sn 0.936 0.064 0.415
Sn 0.958 0.489 0.663
Sn 0.989 0.458 0.163

=====

Computed, not measured: a geometry-optimized Mg4Se3S structure at the PBEsol level of DFT.

## Properties
**Crystal system**: trigonal
**Total moment**: 0.0 μB per cell
**N(E_F)**: 0.00 states/eV per atom
**Formation energy from raw total energies**: -1252 meV per atom

Cell: 13.792 13.792 13.792 Å, 17.29 17.29 17.29°
Sites, in units of the cell vectors:
Mg 0.000 0.000 0.000
Mg 0.248 0.248 0.248
Mg 0.496 0.496 0.496
Mg 0.744 0.744 0.744
Se 0.185 0.185 0.185
Se 0.433 0.433 0.433
Se 0.937 0.937 0.937
S 0.684 0.684 0.684

=====

Computed, not measured: a geometry-optimized Ta2Cd2Cl structure at the PBEsol level of DFT.

## Properties
**Crystal system**: tetragonal
**Total moment**: 0.0 μB per cell
**N(E_F)**: 0.65 states/eV per atom
**Formation energy from raw total energies**: 907 meV per atom

Cell: 7.452 7.452 7.452 Å, 150.45 150.45 42.28°
Sites, in units of the cell vectors:
Ta 0.089 0.089 0.000
Ta 0.911 0.911 0.000
Cd 0.250 0.750 0.500
Cd 0.750 0.250 0.500
Cl 0.500 0.500 0.000

=====

Computed, not measured: a geometry-optimized ErNi2B2 structure at the PBEsol level of DFT.

## Properties
**Final energy**: -68.8 eV/cell
**Crystal system**: monoclinic
**Total moment**: 0.0 μB per cell
**N(E_F)**: 0.48 states/eV per atom

Cell: 4.881 4.881 6.799 Å, 120.80 120.80 63.52°
Sites, in units of the cell vectors:
Er 0.119 0.881 0.750
Er 0.881 0.119 0.250
Ni 0.277 0.468 0.299
Ni 0.468 0.277 0.799
Ni 0.532 0.723 0.201
Ni 0.723 0.532 0.701
B 0.157 0.505 0.977
B 0.495 0.843 0.523
B 0.505 0.157 0.477
B 0.843 0.495 0.023

=====

Computed, not measured: a geometry-optimized CdP2PbO structure at the PBEsol level of DFT.

## Properties
**Crystal system**: tetragonal
**Total moment**: 0.0 μB per cell
**N(E_F)**: 0.84 states/eV per atom
**Formation energy from raw total energies**: 764 meV per atom

Cell: 5.240 5.240 4.070 Å, 90.00 90.00 90.00°
Sites, in units of the cell vectors:
Cd 0.000 0.000 0.000
P 0.000 0.500 0.500
P 0.500 0.000 0.500
Pb 0.500 0.500 0.500
O 0.500 0.500 0.000

=====

Computed, not measured: a geometry-optimized Tl5Cd4 structure at the PBEsol level of DFT.

## Properties
**Final energy**: -34.5 eV/cell
**Crystal system**: hexagonal
**Total moment**: 0.0 μB per cell
**N(E_F)**: 0.48 states/eV per atom

Cell: 9.195 9.195 6.297 Å, 90.00 90.00 120.00°
Sites, in units of the cell vectors:
Tl 0.000 0.298 0.250
Tl 0.000 0.702 0.750
Tl 0.298 0.000 0.250
Tl 0.298 0.298 0.750
Tl 0.333 0.667 0.000
Tl 0.333 0.667 0.500
Tl 0.667 0.333 0.000
Tl 0.667 0.333 0.500
Tl 0.702 0.000 0.750
Tl 0.702 0.702 0.250
Cd 0.000 0.000 0.000
Cd 0.000 0.000 0.500
Cd 0.000 0.364 0.750
Cd 0.000 0.636 0.250
Cd 0.364 0.000 0.750
Cd 0.364 0.364 0.250
Cd 0.636 0.000 0.250
Cd 0.636 0.636 0.750

=====

Computed, not measured: a geometry-optimized FeCu2Se structure at the PBEsol level of DFT.

## Properties
**Crystal system**: tetragonal
**Total moment**: 1.3 μB per cell
**N(E_F)**: 0.70 states/eV per atom
**Formation energy from raw total energies**: 142 meV per atom

Cell: 3.052 3.052 5.391 Å, 90.00 90.00 90.00°
Sites, in units of the cell vectors:
Fe 0.000 0.000 0.000
Cu 0.000 0.000 0.515
Cu 0.500 0.500 0.730
Se 0.500 0.500 0.198

=====

Computed, not measured: a geometry-optimized TaSbPt structure at the PBEsol level of DFT.

## Properties
**Crystal system**: tetragonal
**Total moment**: 0.0 μB per cell
**N(E_F)**: 0.26 states/eV per atom
**Formation energy from raw total energies**: -162 meV per atom

Cell: 6.193 6.193 6.193 Å, 151.05 151.05 41.40°
Sites, in units of the cell vectors:
Ta 0.000 0.000 0.000
Sb 0.321 0.321 0.000
Pt 0.639 0.639 0.000

=====

Computed, not measured: a geometry-optimized HgSbRh structure at the PBEsol level of DFT.

## Properties
**Crystal system**: cubic
**Total moment**: 0.0 μB per cell
**N(E_F)**: 0.75 states/eV per atom
**Formation energy from raw total energies**: 496 meV per atom

Cell: 4.533 4.533 4.533 Å, 60.00 60.00 60.00°
Sites, in units of the cell vectors:
Hg 0.000 0.000 0.000
Sb 0.250 0.250 0.250
Rh 0.750 0.750 0.750

=====

Computed, not measured: a geometry-optimized CuAs3N structure at the PBEsol level of DFT.

## Properties
**Crystal system**: cubic
**Total moment**: 2.4 μB per cell
**N(E_F)**: 0.76 states/eV per atom
**Formation energy from raw total energies**: 1652 meV per atom

Cell: 4.620 4.620 4.620 Å, 90.00 90.00 90.00°
Sites, in units of the cell vectors:
Cu 0.000 0.000 0.000
As 0.000 0.000 0.500
As 0.000 0.500 0.000
As 0.500 0.000 0.000
N 0.500 0.500 0.500

=====

Computed, not measured: a geometry-optimized IrWI2N structure at the PBEsol level of DFT.

## Properties
**Crystal system**: tetragonal
**Total moment**: 0.1 μB per cell
**N(E_F)**: 1.09 states/eV per atom
**Formation energy from raw total energies**: 1185 meV per atom

Cell: 5.314 5.314 3.726 Å, 90.00 90.00 90.00°
Sites, in units of the cell vectors:
Ir 0.000 0.000 0.000
W 0.500 0.500 0.500
I 0.000 0.500 0.500
I 0.500 0.000 0.500
N 0.500 0.500 0.000

=====

Computed, not measured: a geometry-optimized Mg2FeRh structure at the PBEsol level of DFT.

## Properties
**Final energy**: -20.2 eV/cell
**Crystal system**: trigonal
**Total moment**: 2.3 μB per cell
**N(E_F)**: 0.47 states/eV per atom

Cell: 8.783 8.783 8.783 Å, 18.52 18.52 18.52°
Sites, in units of the cell vectors:
Mg 0.249 0.249 0.249
Mg 0.751 0.751 0.751
Fe 0.000 0.000 0.000
Rh 0.500 0.500 0.500

=====

Computed, not measured: a geometry-optimized PbBr2 structure at the PBEsol level of DFT.

## Properties
**Crystal system**: tetragonal
**Total moment**: 0.0 μB per cell
**N(E_F)**: 0.00 states/eV per atom
**Formation energy from raw total energies**: -842 meV per atom

Cell: 7.042 7.042 4.501 Å, 90.00 90.00 90.00°
Sites, in units of the cell vectors:
Pb 0.000 0.000 0.000
Pb 0.500 0.500 0.500
Br 0.199 0.199 0.500
Br 0.301 0.699 0.000
Br 0.699 0.301 0.000
Br 0.801 0.801 0.500

=====

Computed, not measured: a geometry-optimized TaSi10W4 structure at the PBEsol level of DFT.

## Properties
**Crystal system**: tetragonal
**Total moment**: 0.0 μB per cell
**N(E_F)**: 0.14 states/eV per atom
**Formation energy from raw total energies**: -461 meV per atom

Cell: 19.853 19.853 19.853 Å, 170.73 170.73 13.13°
Sites, in units of the cell vectors:
Ta 0.000 0.000 0.000
Si 0.068 0.068 0.000
Si 0.134 0.134 0.000
Si 0.267 0.267 0.000
Si 0.332 0.332 0.000
Si 0.465 0.465 0.000
Si 0.535 0.535 0.000
Si 0.668 0.668 0.000
Si 0.733 0.733 0.000
Si 0.866 0.866 0.000
Si 0.932 0.932 0.000
W 0.201 0.201 0.000
W 0.398 0.398 0.000
W 0.602 0.602 0.000
W 0.799 0.799 0.000

=====

Computed, not measured: a geometry-optimized LiLaCdRu2 structure at the PBEsol level of DFT.

## Properties
**Final energy**: -21.2 eV/cell
**Crystal system**: tetragonal
**Total moment**: 1.7 μB per cell
**N(E_F)**: 1.10 states/eV per atom

Cell: 4.936 4.936 5.471 Å, 90.00 90.00 90.00°
Sites, in units of the cell vectors:
Li 0.000 0.000 0.000
La 0.500 0.500 0.000
Cd 0.500 0.500 0.500
Ru 0.000 0.500 0.500
Ru 0.500 0.000 0.500

=====

Computed, not measured: a geometry-optimized Sm5Mg structure at the PBEsol level of DFT.

## Properties
**Final energy**: -27.2 eV/cell
**Crystal system**: trigonal
**Total moment**: 0.0 μB per cell
**N(E_F)**: 1.03 states/eV per atom

Cell: 6.580 6.580 6.580 Å, 55.60 55.60 55.60°
Sites, in units of the cell vectors:
Sm 0.000 0.635 0.365
Sm 0.160 0.160 0.160
Sm 0.365 0.000 0.635
Sm 0.635 0.365 0.000
Sm 0.840 0.840 0.840
Mg 0.500 0.500 0.500

=====

Computed, not measured: a geometry-optimized Ba2HgBr structure at the PBEsol level of DFT.

## Properties
**Crystal system**: trigonal
**Total moment**: 0.0 μB per cell
**N(E_F)**: 1.26 states/eV per atom
**Formation energy from raw total energies**: -1036 meV per atom

Cell: 8.814 8.814 8.814 Å, 30.47 30.47 30.47°
Sites, in units of the cell vectors:
Ba 0.249 0.249 0.249
Ba 0.751 0.751 0.751
Hg 0.500 0.500 0.500
Br 0.000 0.000 0.000

=====

Computed, not measured: a geometry-optimized SrAuO2 structure at the PBEsol level of DFT.

## Properties
**Crystal system**: monoclinic
**Total moment**: 0.0 μB per cell
**N(E_F)**: 0.00 states/eV per atom
**Formation energy from raw total energies**: -1543 meV per atom

Cell: 6.033 6.033 3.604 Å, 90.03 90.03 108.42°
Sites, in units of the cell vectors:
Sr 0.000 0.500 0.000
Sr 0.500 0.000 0.000
Au 0.000 0.000 0.500
Au 0.500 0.500 0.500
O 0.207 0.793 0.500
O 0.251 0.251 0.226
O 0.749 0.749 0.774
O 0.793 0.207 0.500

=====

Computed, not measured: a geometry-optimized CdTeF2 structure at the PBEsol level of DFT.

## Properties
**Crystal system**: trigonal
**Total moment**: 0.0 μB per cell
**N(E_F)**: 0.38 states/eV per atom
**Formation energy from raw total energies**: -934 meV per atom

Cell: 8.716 8.716 8.716 Å, 20.25 20.25 20.25°
Sites, in units of the cell vectors:
Cd 0.000 0.000 0.000
Te 0.500 0.500 0.500
F 0.093 0.093 0.093
F 0.907 0.907 0.907

=====

Computed, not measured: a geometry-optimized InTeOsI2 structure at the PBEsol level of DFT.

## Properties
**Crystal system**: tetragonal
**Total moment**: 0.0 μB per cell
**N(E_F)**: 0.73 states/eV per atom
**Formation energy from raw total energies**: 412 meV per atom

Cell: 5.593 5.593 4.949 Å, 90.00 90.00 90.00°
Sites, in units of the cell vectors:
In 0.000 0.000 0.000
Te 0.500 0.500 0.000
Os 0.500 0.500 0.500
I 0.000 0.500 0.500
I 0.500 0.000 0.500

=====

Computed, not measured: a geometry-optimized LiH2IO structure at the PBEsol level of DFT.

## Properties
**Final energy**: -42.7 eV/cell
**Crystal system**: orthorhombic
**Total moment**: 0.0 μB per cell
**N(E_F)**: 0.00 states/eV per atom

Cell: 6.291 4.311 5.450 Å, 90.00 90.00 90.00°
Sites, in units of the cell vectors:
Li 0.000 0.000 0.000
Li 0.500 0.000 0.000
H 0.250 0.180 0.351
H 0.250 0.820 0.351
H 0.750 0.180 0.649
H 0.750 0.820 0.649
I 0.250 0.500 0.738
I 0.750 0.500 0.262
O 0.250 0.000 0.236
O 0.750 0.000 0.764

=====

Computed, not measured: a geometry-optimized CsCoNiF6 structure at the PBEsol level of DFT.

## Properties
**Crystal system**: orthorhombic
**Total moment**: 4.1 μB per cell
**N(E_F)**: 0.19 states/eV per atom
**Formation energy from raw total energies**: -2035 meV per atom

Cell: 7.072 7.072 7.072 Å, 120.82 119.56 89.67°
Sites, in units of the cell vectors:
Cs 0.373 0.123 0.250
Cs 0.627 0.877 0.750
Co 0.000 0.000 0.500
Co 0.000 0.500 0.000
Ni 0.000 0.500 0.500
Ni 0.500 0.500 0.000
F 0.063 0.421 0.232
F 0.063 0.831 0.642
F 0.064 0.814 0.250
F 0.311 0.169 0.732
F 0.311 0.579 0.142
F 0.329 0.579 0.750
F 0.671 0.421 0.250
F 0.689 0.421 0.858
F 0.689 0.831 0.268
F 0.936 0.186 0.750
F 0.937 0.169 0.358
F 0.937 0.579 0.768

=====

Computed, not measured: a geometry-optimized TaNiPb2 structure at the PBEsol level of DFT.

## Properties
**Final energy**: -23.8 eV/cell
**Crystal system**: cubic
**Total moment**: 0.0 μB per cell
**N(E_F)**: 1.02 states/eV per atom

Cell: 4.800 4.800 4.800 Å, 60.00 60.00 60.00°
Sites, in units of the cell vectors:
Ta 0.000 0.000 0.000
Ni 0.500 0.500 0.500
Pb 0.250 0.250 0.250
Pb 0.750 0.750 0.750

=====

Computed, not measured: a geometry-optimized Ir2RuSe structure at the PBEsol level of DFT.

## Properties
**Crystal system**: monoclinic
**Total moment**: 0.0 μB per cell
**N(E_F)**: 0.72 states/eV per atom
**Formation energy from raw total energies**: 350 meV per atom

Cell: 4.666 4.666 4.808 Å, 103.39 103.39 34.91°
Sites, in units of the cell vectors:
Ir 0.000 0.000 0.000
Ir 0.242 0.242 0.763
Ru 0.483 0.483 0.517
Se 0.741 0.741 0.301